Entry 1:
{"formula": "CsKPt6S6O28", "functional": "GGA-PBEsol", "state": "optimized geometry", "cell": [[6.089, 3.515, 9.334], [-6.089, 3.515, 9.334], [0.000, -7.031, 9.334]], "species": ["Cs", "Cs", "K", "K", "Pt", "Pt", "Pt", "Pt", "Pt", "Pt", "Pt", "Pt", "Pt", "Pt", "Pt", "Pt", "S", "S", "S", "S", "S", "S", "S", "S", "S", "S", "S", "S", "O", "O", "O", "O", "O", "O", "O", "O", "O", "O", "O", "O", "O", "O", "O", "O", "O", "O", "O", "O", "O", "O", "O", "O", "O", "O", "O", "O", "O", "O", "O", "O", "O", "O", "O", "O", "O", "O", "O", "O", "O", "O", "O", "O", "O", "O", "O", "O", "O", "O", "O", "O", "O", "O", "O", "O"], "frac_coords": [[0.090, 0.090, 0.090], [0.910, 0.910, 0.910], [0.295, 0.295, 0.295], [0.705, 0.705, 0.705], [0.230, 0.486, 0.533], [0.255, 0.699, 0.641], [0.301, 0.359, 0.745], [0.359, 0.745, 0.301], [0.467, 0.770, 0.514], [0.486, 0.533, 0.230], [0.514, 0.467, 0.770], [0.533, 0.230, 0.486], [0.641, 0.255, 0.699], [0.699, 0.641, 0.255], [0.745, 0.301, 0.359], [0.770, 0.514, 0.467], [0.016, 0.564, 0.785], [0.187, 0.658, 0.238], [0.215, 0.984, 0.436], [0.238, 0.187, 0.658], [0.342, 0.762, 0.813], [0.436, 0.215, 0.984], [0.564, 0.785, 0.016], [0.658, 0.238, 0.187], [0.762, 0.813, 0.342], [0.785, 0.016, 0.564], [0.813, 0.342, 0.762], [0.984, 0.436, 0.215], [0.039, 0.560, 0.647], [0.058, 0.677, 0.765], [0.101, 0.705, 0.160], [0.105, 0.430, 0.855], [0.124, 0.418, 0.138], [0.134, 0.574, 0.380], [0.138, 0.124, 0.418], [0.145, 0.895, 0.570], [0.160, 0.101, 0.705], [0.173, 0.328, 0.572], [0.205, 0.778, 0.242], [0.222, 0.758, 0.795], [0.235, 0.942, 0.323], [0.242, 0.205, 0.778], [0.262, 0.656, 0.491], [0.295, 0.840, 0.899], [0.323, 0.235, 0.942], [0.328, 0.572, 0.173], [0.344, 0.509, 0.738], [0.353, 0.961, 0.440], [0.380, 0.134, 0.574], [0.407, 0.407, 0.407], [0.418, 0.138, 0.124], [0.426, 0.620, 0.866], [0.428, 0.827, 0.672], [0.430, 0.855, 0.105], [0.440, 0.353, 0.961], [0.491, 0.262, 0.656], [0.509, 0.738, 0.344], [0.560, 0.647, 0.039], [0.570, 0.145, 0.895], [0.572, 0.173, 0.328], [0.574, 0.380, 0.134], [0.582, 0.862, 0.876], [0.593, 0.593, 0.593], [0.620, 0.866, 0.426], [0.647, 0.039, 0.560], [0.656, 0.491, 0.262], [0.672, 0.428, 0.827], [0.677, 0.765, 0.058], [0.705, 0.160, 0.101], [0.738, 0.344, 0.509], [0.758, 0.795, 0.222], [0.765, 0.058, 0.677], [0.778, 0.242, 0.205], [0.795, 0.222, 0.758], [0.827, 0.672, 0.428], [0.840, 0.899, 0.295], [0.855, 0.105, 0.430], [0.862, 0.876, 0.582], [0.866, 0.426, 0.620], [0.876, 0.582, 0.862], [0.895, 0.570, 0.145], [0.899, 0.295, 0.840], [0.942, 0.323, 0.235], [0.961, 0.440, 0.353]], "final_energy_ev_per_atom": -6.302, "raw_formation_energy_ev_per_atom": -1.132, "spacegroup": "No. 148"}



Entry 2:
{"formula": "LiZrSc2", "functional": "GGA-PBEsol", "state": "optimized geometry", "cell": [[3.182, 0.000, 0.000], [0.000, 3.182, 0.000], [0.000, 0.000, 8.834]], "species": ["Li", "Zr", "Sc", "Sc"], "frac_coords": [[0.000, 0.000, 0.000], [0.000, 0.000, 0.500], [0.500, 0.500, 0.257], [0.500, 0.500, 0.743]], "final_energy_ev_per_atom": -6.008, "e_above_lowest_polymorph_mev_per_atom": 0, "formation_enthalpy_0k_ev_per_atom": 0.06, "spacegroup": "No. 123"}



Entry 3:
{"formula": "BeCdTeN2", "functional": "GGA-PBEsol", "state": "optimized geometry", "cell": [[4.168, 0.000, 0.000], [0.000, 4.168, 0.000], [0.000, 0.000, 4.504]], "species": ["Be", "Cd", "Te", "N", "N"], "frac_coords": [[0.000, 0.000, 0.000], [0.500, 0.500, 0.000], [0.000, 0.000, 0.500], [0.000, 0.500, 0.500], [0.500, 0.000, 0.500]], "final_energy_ev_per_atom": -3.674, "raw_formation_energy_ev_per_atom": 1.481, "e_above_lowest_polymorph_mev_per_atom": 0, "spacegroup": "No. 123"}



Entry 4:
{"formula": "RbTaIn2Ir", "functional": "GGA-PBEsol", "state": "optimized geometry", "cell": [[5.293, 0.000, 0.000], [0.000, 5.293, 0.000], [0.000, 0.000, 5.438]], "species": ["Rb", "Ta", "In", "In", "Ir"], "frac_coords": [[0.000, 0.000, 0.000], [0.000, 0.000, 0.500], [0.000, 0.500, 0.500], [0.500, 0.000, 0.500], [0.500, 0.500, 0.000]], "final_energy_ev_per_atom": -3.788, "formation_enthalpy_0k_ev_per_atom": 2.09, "spacegroup": "No. 123"}